# 1
A relaxed structure of CeAg4Sn2, computed with PBE-GGA.

density	8.6	g cm⁻³
space-group type	P4_2/mnm (136)
D(E_F)	14.91	states/eV per cell
formation enthalpy at 0 K	-0.20	eV per atom
total DFT energy (no corrections)	-3.82	eV/atom

Structure (extended XYZ):
```
14
Lattice="8.247 0.000 0.000 0.000 8.247 0.000 0.000 0.000 4.602" Properties=species:S:1:pos:R:3 pbc="T T T"
Ce 0.000 0.000 0.000
Ce 4.124 4.124 2.301
Ag 0.818 2.915 2.301
Ag 1.209 4.942 0.000
Ag 2.915 0.818 2.301
Ag 3.306 7.038 0.000
Ag 4.942 1.209 0.000
Ag 5.333 7.429 2.301
Ag 7.038 3.306 0.000
Ag 7.429 5.333 2.301
Sn 1.728 6.519 2.301
Sn 2.396 2.396 0.000
Sn 5.852 5.852 0.000
Sn 6.519 1.728 2.301
```

=====

# 2
A relaxed structure of CeAg4Sn, computed with PBE-GGA.

density	8.8	g cm⁻³
space-group type	F-43m (216)
D(E_F)	10.17	states/eV per cell
formation enthalpy at 0 K	-0.14	eV per atom
total DFT energy (no corrections)	-3.69	eV/atom

Structure (extended XYZ):
```
6
Lattice="0.000 4.020 4.020 4.020 0.000 4.020 4.020 4.020 0.000" Properties=species:S:1:pos:R:3 pbc="T T T"
Ce 0.000 0.000 0.000
Ag 3.015 3.015 3.015
Ag 5.026 5.026 3.015
Ag 5.026 3.015 5.026
Ag 3.015 5.026 5.026
Sn 6.031 6.031 6.031
```

=====

# 3
A relaxed structure of Ce2AgSn3, computed with PBE-GGA.

density	7.1	g cm⁻³
space-group type	Immm (71)
D(E_F)	12.09	states/eV per cell
formation enthalpy at 0 K	-0.23	eV per atom
total DFT energy (no corrections)	-4.68	eV/atom

Structure (extended XYZ):
```
6
Lattice="-2.390 3.201 5.718 2.390 -3.201 5.718 2.390 3.201 -5.718" Properties=species:S:1:pos:R:3 pbc="T T T"
Ce 0.000 0.000 2.114
Ce 0.000 0.000 9.323
Ag 0.000 0.000 5.718
Sn 2.390 0.000 0.000
Sn 2.390 0.000 4.153
Sn 0.000 3.201 1.565
```

=====

# 4
A relaxed structure of Ce2AgSn8, computed with PBE-GGA.

density	7.6	g cm⁻³
space-group type	P4/mmm (123)
D(E_F)	12.13	states/eV per cell
formation enthalpy at 0 K	-0.32	eV per atom
total DFT energy (no corrections)	-4.57	eV/atom

Structure (extended XYZ):
```
11
Lattice="4.743 0.000 0.000 0.000 4.743 0.000 0.000 0.000 12.940" Properties=species:S:1:pos:R:3 pbc="T T T"
Ce 0.000 0.000 2.283
Ce 0.000 0.000 10.657
Ag 0.000 0.000 6.470
Sn 0.000 2.371 0.000
Sn 0.000 2.371 4.726
Sn 0.000 2.371 8.214
Sn 2.371 0.000 0.000
Sn 2.371 0.000 4.726
Sn 2.371 0.000 8.214
Sn 2.371 2.371 2.350
Sn 2.371 2.371 10.590
```

=====

Look up the total DFT energy (no corrections) of the third one. -4.68 eV/atom